[1]
DFT (GGA-PBE) results for crystalline TaMo3 at its relaxed geometry.

extended XYZ file:
```
8
Lattice="3.445 -4.109 0.000 3.445 4.109 0.000 0.000 0.000 5.001" Properties=species:S:1:pos:R:3 pbc="T T T"
Ta 3.445 -0.514 1.250
Ta 3.445 0.514 3.751
Mo 4.723 2.001 1.250
Mo 4.723 -2.001 3.751
Mo 2.166 2.001 1.250
Mo 3.445 -3.476 1.250
Mo 2.166 -2.001 3.751
Mo 3.445 3.476 3.751
```

Results
Space group ... Cmcm
Energy of formation ... 0.643 eV per atom


[2]
DFT (GGA-PBE) results for crystalline ZnTeW at its relaxed geometry.

extended XYZ file:
```
3
Lattice="-2.145 -2.121 1.190 0.605 0.081 -3.185 4.849 -4.451 0.808" Properties=species:S:1:pos:R:3 pbc="T T T"
Zn 2.748 -3.461 -1.217
W 0.378 -2.862 -0.001
Te 0.183 -0.168 0.030
```

Results
Space group ... P3m1
E above lowest polymorph ... 6.2 meV per atom


[3]
DFT (GGA-PBE) results for crystalline TiIn2Mo at its relaxed geometry.

extended XYZ file:
```
8
Lattice="7.561 0.000 0.000 0.000 7.561 0.000 3.780 3.780 2.861" Properties=species:S:1:pos:R:3 pbc="T T T"
Mo 0.000 0.000 0.000
Mo 7.561 3.780 1.430
In 1.873 5.671 0.715
In 5.688 1.890 0.715
In 5.671 5.653 2.145
In 9.451 9.468 2.145
Ti 3.780 3.780 0.000
Ti 3.780 7.561 1.430
```

Results
Space group ... I-42d
E above lowest polymorph ... 287.7 meV per atom
Energy of formation ... 0.539 eV per atom


[4]
DFT (GGA-PBE) results for crystalline Dy2ErHg at its relaxed geometry.

extended XYZ file:
```
4
Lattice="3.630 -0.001 0.000 1.814 3.144 0.000 1.815 1.048 10.417" Properties=species:S:1:pos:R:3 pbc="T T T"
Dy 1.816 1.048 8.020
Dy 1.815 1.048 2.392
Hg 3.630 2.095 0.005
Er 3.628 2.095 5.208
```

Results
Space group ... R3m
E above lowest polymorph ... 65.5 meV per atom
Energy of formation ... -0.157 eV per atom


[5]
DFT (GGA-PBE) results for crystalline Tm2MgGa4Pt3 at its relaxed geometry.

extended XYZ file:
```
10
Lattice="-3.009 -0.532 -2.561 2.450 -1.937 -2.477 -2.703 -10.187 5.292" Properties=species:S:1:pos:R:3 pbc="T T T"
Ga -3.252 -6.852 2.141
Ga -0.279 -1.234 -2.519
Ga 0.270 -4.570 0.632
Ga 0.000 0.000 0.000
Pt -1.352 -5.094 2.646
Pt -3.821 -8.996 3.255
Pt 0.839 -2.426 -0.482
Tm -2.156 -2.722 -0.004
Tm -0.826 -8.700 2.778
Mg -1.631 -6.328 0.127
```

Results
Space group ... P-4m2
Energy of formation ... -0.841 eV per atom


[6]
DFT (GGA-PBE) results for crystalline CrNiSn2Hg at its relaxed geometry.

extended XYZ file:
```
5
Lattice="5.024 0.000 0.000 0.000 5.173 0.000 0.000 0.000 5.024" Properties=species:S:1:pos:R:3 pbc="T T T"
Hg 0.000 2.586 0.000
Sn 0.000 0.000 2.512
Sn 2.512 0.000 0.000
Cr 0.000 0.000 0.000
Ni 2.512 2.586 2.512
```

Results
Space group ... P4/mmm
Energy of formation ... 0.852 eV per atom


[7]
DFT (GGA-PBE) results for crystalline Na3NdHg12 at its relaxed geometry.

extended XYZ file:
```
16
Lattice="4.689 0.000 0.000 0.000 4.689 0.000 0.000 0.000 18.658" Properties=species:S:1:pos:R:3 pbc="T T T"
Na 0.000 0.000 13.965
Na 0.000 0.000 4.693
Na 0.000 0.000 9.329
Hg 2.345 2.345 4.631
Hg 2.345 0.000 11.667
Hg 0.000 2.345 6.990
Hg 2.345 2.345 14.026
Hg 2.345 0.000 2.351
Hg 2.345 2.345 9.329
Hg 0.000 2.345 16.307
Hg 0.000 2.345 11.667
Hg 2.345 0.000 6.990
Hg 2.345 0.000 16.307
Hg 0.000 2.345 2.351
Hg 2.345 2.345 0.000
Nd 0.000 0.000 0.000
```

Results
Space group ... P4/mmm
Energy of formation ... -0.230 eV per atom


[8]
DFT (GGA-PBE) results for crystalline Tb3SmZn2 at its relaxed geometry.

extended XYZ file:
```
6
Lattice="3.584 0.000 0.000 0.000 3.584 0.000 0.000 0.000 12.281" Properties=species:S:1:pos:R:3 pbc="T T T"
Tb 0.000 0.000 8.731
Tb 0.000 0.000 3.551
Tb 0.000 0.000 0.000
Zn 1.792 1.792 1.767
Zn 1.792 1.792 10.514
Sm 1.792 1.792 6.141
```

Results
Space group ... P4/mmm
Energy of formation ... -0.226 eV per atom


[9]
DFT (GGA-PBE) results for crystalline Ca4ErB3O10 at its relaxed geometry.

extended XYZ file:
```
18
Lattice="9.027 -0.009 -0.001 -5.366 7.259 -0.001 0.309 0.612 3.471" Properties=species:S:1:pos:R:3 pbc="T T T"
O 4.874 3.437 2.506
O -2.242 3.835 1.146
O 2.375 4.703 0.611
O 0.134 2.931 2.978
O -0.127 5.962 2.506
O -3.625 5.702 1.830
O 4.417 0.472 1.146
O 2.279 1.847 2.978
O 6.740 0.467 1.830
O 3.955 7.831 3.460
B 5.687 4.322 1.822
B 0.904 1.791 3.139
B 0.103 7.142 1.822
Er 3.126 6.189 2.075
Ca 0.089 4.177 0.961
Ca 6.918 2.329 3.301
Ca -2.232 6.950 3.301
Ca 3.309 2.551 0.961
```

Results
Space group ... Cm
E_tot ... -7.57 eV per atom


[10]
DFT (GGA-PBE) results for crystalline Ac2NdCuSe5 at its relaxed geometry.

extended XYZ file:
```
18
Lattice="4.255 0.000 0.000 -2.128 8.938 0.000 0.000 0.000 12.918" Properties=species:S:1:pos:R:3 pbc="T T T"
Se 0.000 8.855 9.734
Se 2.128 3.374 11.142
Se 0.000 5.396 8.859
Se 2.128 0.083 3.275
Se 0.000 5.564 4.683
Se 2.128 8.627 6.618
Se 0.000 0.311 0.158
Se 2.128 2.771 6.714
Se 2.127 3.542 2.399
Se 0.000 6.167 0.255
Ac 2.128 6.844 2.526
Ac 2.128 6.854 10.921
Ac 0.000 2.084 4.462
Ac 0.000 2.094 8.985
Cu 0.000 7.972 5.486
Cu 2.127 0.966 11.945
Nd 0.000 3.180 0.317
Nd 2.128 5.758 6.776
```

Results
Space group ... Cmc2_1
E_tot ... -5.53 eV per atom


[11]
DFT (GGA-PBE) results for crystalline LuPaBe4 at its relaxed geometry.

extended XYZ file:
```
6
Lattice="-2.384 -2.860 -3.271 0.197 -4.935 0.416 -4.026 -2.532 1.394" Properties=species:S:1:pos:R:3 pbc="T T T"
Be -3.976 -3.995 -1.119
Be -3.878 -6.446 -0.912
Be -1.878 -5.188 -1.604
Be -2.694 -5.025 0.713
Lu 0.000 0.000 0.000
Pa -1.553 -2.582 -0.365
```

Results
Space group ... F-43m
Energy of formation ... 0.144 eV per atom


[12]
DFT (GGA-PBE) results for crystalline TmMg3Pb4 at its relaxed geometry.

extended XYZ file:
```
16
Lattice="5.527 0.000 0.000 0.000 7.093 0.000 0.000 0.000 10.867" Properties=species:S:1:pos:R:3 pbc="T T T"
Mg 0.000 0.000 0.000
Mg 3.170 3.547 8.150
Mg 3.235 0.000 8.150
Mg 2.357 3.547 2.717
Mg 0.000 0.000 5.433
Mg 2.292 0.000 2.717
Pb 2.764 1.743 5.433
Pb 2.764 5.350 5.433
Pb 0.429 5.354 8.150
Pb 5.098 1.739 2.717
Pb 5.098 5.354 2.717
Pb 2.764 1.743 0.000
Pb 0.429 1.739 8.150
Pb 2.764 5.350 0.000
Tm 0.000 3.547 0.000
Tm 0.000 3.547 5.433
```

Results
Space group ... Pmma
Energy of formation ... -0.121 eV per atom